Compound: MgCrP4
Source: Alexandria
Functional: PBE-GGA
Structure: relaxed

The calculation puts the total magnetization at 0.748 μB per atom. The value obtained for the density of states at the Fermi level is 0.34 states/eV per atom. For the formation energy from the elements, the calculation gives 0.458 eV/atom.

Cell lengths 7.242, 7.242, 7.242 Å; angles 90.00, 90.00, 90.00 degrees
Space group F-43m (No. 216)
Unique sites:
Mg  0.000  0.000  0.000 (multiplicity 4)
Cr  0.250  0.250  0.250 (multiplicity 4)
P  0.124  0.124  0.624 (multiplicity 16)